# 1
# PBE YMgGe2Pd2, optimized geometry
# * calculated total energy: -5.372 eV/atom
# * calculated density: 7.1 g/cm3
data_YMgGe2Pd2
_chemical_formula_sum 'Y1 Mg1 Ge2 Pd2'
_cell_length_a 4.3473
_cell_length_b 4.3473
_cell_length_c 6.7698
_cell_angle_alpha 90.00
_cell_angle_beta 90.00
_cell_angle_gamma 120.00
_symmetry_space_group_name_H-M 'P -3 m 1'
_symmetry_Int_Tables_number 164
_symmetry_space_group_name_Hall '-P 3 2"'
loop_
_atom_site_label
_atom_site_type_symbol
_atom_site_fract_x
_atom_site_fract_y
_atom_site_fract_z
Y1 Y 0.0000 0.0000 0.0000
Mg1 Mg 0.0000 0.0000 0.5000
Ge1 Ge 0.3333 0.6667 0.2640
Pd1 Pd 0.3333 0.6667 0.6820

***

# 2
# PBE LiTc2Sb2, optimized geometry
# * calculated total energy: -6.124 eV/atom
# * formation energy from raw total energies: 0.05 eV/atom
# * offset from the most stable computed form: 12.7 meV/atom
# * calculated density: 8.1 g/cm3
data_LiTc2Sb2
_chemical_formula_sum 'Li2 Tc4 Sb4'
_cell_length_a 7.611
_cell_length_b 7.611
_cell_length_c 3.160
_cell_angle_alpha 90.00
_cell_angle_beta 90.00
_cell_angle_gamma 90.00
_symmetry_space_group_name_H-M 'P 4/m b m'
_symmetry_Int_Tables_number 127
_symmetry_space_group_name_Hall '-P 4 2ab'
loop_
_atom_site_label
_atom_site_type_symbol
_atom_site_fract_x
_atom_site_fract_y
_atom_site_fract_z
Li1 Li 0.000 0.000 0.000
Tc1 Tc 0.142 0.358 0.500
Sb1 Sb 0.154 0.654 0.000

***

# 3
# PBE ZrCr2Fe, optimized geometry
# * calculated total energy: -8.747 eV/atom
# * offset from the most stable computed form: 185.7 meV/atom
# * calculated density: 7.4 g/cm3
data_ZrCr2Fe
_chemical_formula_sum 'Zr1 Cr2 Fe1'
_cell_length_a 2.702
_cell_length_b 4.148
_cell_length_c 5.146
_cell_angle_alpha 90.00
_cell_angle_beta 101.85
_cell_angle_gamma 90.00
_symmetry_space_group_name_H-M 'P 1 2/m 1'
_symmetry_Int_Tables_number 10
loop_
_symmetry_equiv_pos_as_xyz
'x,y,z'
'-x,-y,-z'
'-x,y,-z'
'x,-y,z'
loop_
_atom_site_label
_atom_site_type_symbol
_atom_site_fract_x
_atom_site_fract_y
_atom_site_fract_z
Zr1 Zr 0.000 0.000 0.000
Cr1 Cr 0.226 0.500 0.699
Fe1 Fe 0.500 0.000 0.500

***

# 4
# PBE LuUC, optimized geometry
# * calculated total energy: -8.410 eV/atom
# * offset from the most stable computed form: 0.0 meV/atom
# * calculated density: 12.0 g/cm3
data_LuUC
_chemical_formula_sum 'Lu1 U1 C1'
_cell_length_a 3.3327
_cell_length_b 3.3327
_cell_length_c 6.0998
_cell_angle_alpha 90.00
_cell_angle_beta 90.00
_cell_angle_gamma 120.00
_symmetry_space_group_name_H-M 'P 3 m 1'
_symmetry_Int_Tables_number 156
loop_
_symmetry_equiv_pos_as_xyz
'x,y,z'
'-y,x-y,z'
'-x+y,-x,z'
'-y,-x,z'
'-x+y,y,z'
'x,x-y,z'
loop_
_atom_site_label
_atom_site_type_symbol
_atom_site_fract_x
_atom_site_fract_y
_atom_site_fract_z
Lu1 Lu 0.0000 0.0000 0.0000
U1 U 0.3333 0.6667 0.4619
C1 C 0.6667 0.3333 0.2368